Crystalline Cu2OsCl at its relaxed geometry, computed with PBE.

a = 4.947 Å, b = 4.947 Å, c = 4.947 Å
α = 136.43°, β = 136.43°, γ = 63.32°
Sites, in units of the cell vectors:
Cu 0.250 0.750 0.500
Cu 0.750 0.250 0.500
Os 0.000 0.000 0.000
Cl 0.500 0.500 0.000

Output
Space group: I4/mmm (139)
Fermi-level density of states (states/eV per cell): 4.9



Crystalline Cu2OsCl at its relaxed geometry, computed with PBE.

a = 2.822 Å, b = 2.849 Å, c = 7.393 Å
α = 90.00°, β = 90.00°, γ = 90.00°
Sites, in units of the cell vectors:
Cu 0.000 0.000 0.233
Cu 0.000 0.000 0.767
Os 0.500 0.500 0.000
Cl 0.500 0.000 0.500

Output
Space group: Pmmm (47)
Fermi-level density of states (states/eV per cell): 4.1



Crystalline Cu2OsCl at its relaxed geometry, computed with PBE.

a = 2.840 Å, b = 2.840 Å, c = 8.466 Å
α = 90.00°, β = 90.00°, γ = 121.89°
Sites, in units of the cell vectors:
Cu 0.000 0.000 0.000
Cu 0.500 0.500 0.239
Os 0.000 0.000 0.494
Cl 0.500 0.500 0.738

Output
Space group: Cmm2 (35)
Fermi-level density of states (states/eV per cell): 2.8



Crystalline Cu2OsCl at its relaxed geometry, computed with PBE.

a = 4.428 Å, b = 4.428 Å, c = 4.428 Å
α = 60.00°, β = 60.00°, γ = 60.00°
Sites, in units of the cell vectors:
Cu 0.250 0.250 0.250
Cu 0.750 0.750 0.750
Os 0.000 0.000 0.000
Cl 0.500 0.500 0.500

Output
Space group: Fm-3m (225)
Fermi-level density of states (states/eV per cell): 3.8



Crystalline CuOsCl4 at its relaxed geometry, computed with PBE.

a = 5.675 Å, b = 5.675 Å, c = 5.675 Å
α = 60.00°, β = 60.00°, γ = 60.00°
Sites, in units of the cell vectors:
Cu 0.000 0.000 0.000
Os 0.750 0.750 0.750
Cl 0.376 0.376 0.376
Cl 0.376 0.376 0.872
Cl 0.376 0.872 0.376
Cl 0.872 0.376 0.376

Output
Space group: F-43m (216)
Fermi-level density of states (states/eV per cell): 6.0



Crystalline CuOsCl3 at its relaxed geometry, computed with PBE.

a = 4.723 Å, b = 4.723 Å, c = 4.723 Å
α = 90.00°, β = 90.00°, γ = 90.00°
Sites, in units of the cell vectors:
Cu 0.000 0.000 0.000
Os 0.500 0.500 0.500
Cl 0.000 0.000 0.500
Cl 0.000 0.500 0.000
Cl 0.500 0.000 0.000

Output
Space group: Pm-3m (221)
Fermi-level density of states (states/eV per cell): 11.7



Crystalline CuOsCl6 at its relaxed geometry, computed with PBE.

a = 6.594 Å, b = 6.594 Å, c = 6.901 Å
α = 105.20°, β = 105.20°, γ = 116.66°
Sites, in units of the cell vectors:
Cu 0.000 0.000 0.000
Os 0.000 0.000 0.500
Cl 0.141 0.859 0.245
Cl 0.141 0.859 0.755
Cl 0.381 0.381 0.691
Cl 0.619 0.619 0.309
Cl 0.859 0.141 0.245
Cl 0.859 0.141 0.755

Output
Space group: C2/m (12)
Fermi-level density of states (states/eV per cell): 3.5



Crystalline CuOsCl at its relaxed geometry, computed with PBE.

a = 6.461 Å, b = 6.461 Å, c = 6.461 Å
α = 154.25°, β = 154.25°, γ = 36.74°
Sites, in units of the cell vectors:
Cu 0.000 0.000 0.000
Os 0.375 0.375 0.000
Cl 0.735 0.735 0.000

Output
Space group: I4mm (107)
Fermi-level density of states (states/eV per cell): 3.6



Crystalline Cu2OsCl at its relaxed geometry, computed with PBE.

a = 2.763 Å, b = 4.427 Å, c = 4.588 Å
α = 90.00°, β = 90.00°, γ = 90.00°
Sites, in units of the cell vectors:
Cu 0.000 0.000 0.000
Cu 0.500 0.500 0.000
Os 0.000 0.500 0.500
Cl 0.500 0.000 0.500

Output
Space group: Pmmm (47)
Fermi-level density of states (states/eV per cell): 3.3



Crystalline CuPOsCl2 at its relaxed geometry, computed with PBE.

a = 4.952 Å, b = 4.952 Å, c = 4.466 Å
α = 90.00°, β = 90.00°, γ = 90.00°
Sites, in units of the cell vectors:
Cu 0.000 0.000 0.000
P 0.500 0.500 0.000
Os 0.500 0.500 0.500
Cl 0.000 0.500 0.500
Cl 0.500 0.000 0.500

Output
Space group: P4/mmm (123)
Fermi-level density of states (states/eV per cell): 4.4



Crystalline CuPOsCl2 at its relaxed geometry, computed with PBE.

a = 4.297 Å, b = 4.297 Å, c = 5.557 Å
α = 90.00°, β = 90.00°, γ = 90.00°
Sites, in units of the cell vectors:
Cu 0.000 0.000 0.000
P 0.000 0.000 0.500
Os 0.500 0.500 0.500
Cl 0.000 0.500 0.000
Cl 0.500 0.000 0.000

Output
Space group: P4/mmm (123)
Fermi-level density of states (states/eV per cell): 4.9



Crystalline Pr8CuOs3Cl4 at its relaxed geometry, computed with PBE.

a = 8.250 Å, b = 8.250 Å, c = 9.026 Å
α = 117.23°, β = 117.23°, γ = 60.01°
Sites, in units of the cell vectors:
Pr 0.224 0.742 0.706
Pr 0.237 0.237 0.710
Pr 0.258 0.776 0.294
Pr 0.259 0.259 0.294
Pr 0.741 0.741 0.706
Pr 0.742 0.224 0.706
Pr 0.763 0.763 0.290
Pr 0.776 0.258 0.294
Cu 0.500 0.500 0.500
Os 0.000 0.000 0.500
Os 0.000 0.500 0.500
Os 0.500 0.000 0.500
Cl 0.000 0.000 0.000
Cl 0.000 0.500 0.000
Cl 0.500 0.000 0.000
Cl 0.500 0.500 0.000

Output
Space group: C2/m (12)
Fermi-level density of states (states/eV per cell): 5.9



Crystalline Pr6CuOs2Cl3 at its relaxed geometry, computed with PBE.

a = 7.164 Å, b = 7.164 Å, c = 8.023 Å
α = 98.54°, β = 98.54°, γ = 120.02°
Sites, in units of the cell vectors:
Pr 0.083 0.431 0.793
Pr 0.221 0.221 0.208
Pr 0.431 0.083 0.793
Pr 0.569 0.917 0.207
Pr 0.779 0.779 0.792
Pr 0.917 0.569 0.207
Cu 0.500 0.500 0.000
Os 0.166 0.834 0.000
Os 0.834 0.166 0.000
Cl 0.000 0.000 0.500
Cl 0.328 0.672 0.500
Cl 0.672 0.328 0.500

Output
Space group: C2/m (12)
Fermi-level density of states (states/eV per cell): 4.0



Crystalline Pr4CuOsCl2 at its relaxed geometry, computed with PBE.

a = 7.115 Å, b = 4.178 Å, c = 7.965 Å
α = 90.00°, β = 107.42°, γ = 90.00°
Sites, in units of the cell vectors:
Pr 0.230 0.000 0.208
Pr 0.252 0.500 0.791
Pr 0.748 0.500 0.209
Pr 0.770 0.000 0.792
Cu 0.500 0.000 0.000
Os 0.000 0.500 0.000
Cl 0.000 0.000 0.500
Cl 0.500 0.500 0.500

Output
Space group: P2/m (10)
Fermi-level density of states (states/eV per cell): 5.2



Crystalline RbCu2OsCl at its relaxed geometry, computed with PBE.

a = 4.701 Å, b = 4.701 Å, c = 7.884 Å
α = 90.00°, β = 90.00°, γ = 90.00°
Sites, in units of the cell vectors:
Rb 0.000 0.000 0.000
Cu 0.000 0.500 0.500
Cu 0.500 0.000 0.500
Os 0.000 0.000 0.500
Cl 0.500 0.500 0.000

Output
Space group: P4/mmm (123)
Fermi-level density of states (states/eV per cell): 3.1



Crystalline RbCu2OsCl8 at its relaxed geometry, computed with PBE.

a = 6.132 Å, b = 7.076 Å, c = 8.260 Å
α = 105.23°, β = 96.39°, γ = 90.29°
Sites, in units of the cell vectors:
Rb 0.000 0.000 0.000
Cu 0.482 0.525 0.183
Cu 0.518 0.475 0.817
Os 0.000 0.500 0.500
Cl 0.108 0.496 0.233
Cl 0.173 0.805 0.613
Cl 0.323 0.342 0.563
Cl 0.491 0.755 0.027
Cl 0.509 0.245 0.973
Cl 0.677 0.658 0.437
Cl 0.827 0.195 0.387
Cl 0.892 0.504 0.767

Output
Space group: P-1 (2)
Fermi-level density of states (states/eV per cell): 4.2



Crystalline RbCuOsCl6 at its relaxed geometry, computed with PBE.

a = 6.401 Å, b = 6.401 Å, c = 7.361 Å
α = 90.00°, β = 90.00°, γ = 120.00°
Sites, in units of the cell vectors:
Rb 0.000 0.000 0.000
Cu 0.333 0.667 0.500
Os 0.667 0.333 0.500
Cl 0.374 0.018 0.680
Cl 0.374 0.356 0.320
Cl 0.644 0.018 0.320
Cl 0.644 0.626 0.680
Cl 0.982 0.356 0.680
Cl 0.982 0.626 0.320

Output
Space group: P312 (149)
Fermi-level density of states (states/eV per cell): 3.5



Crystalline Rb2CuOsCl6 at its relaxed geometry, computed with PBE.

a = 6.985 Å, b = 6.985 Å, c = 6.985 Å
α = 115.07°, β = 115.07°, γ = 98.78°
Sites, in units of the cell vectors:
Rb 0.250 0.750 0.500
Rb 0.750 0.250 0.500
Cu 0.000 0.000 0.000
Os 0.500 0.500 0.000
Cl 0.238 0.238 0.000
Cl 0.274 0.274 0.548
Cl 0.274 0.726 0.000
Cl 0.726 0.274 0.000
Cl 0.726 0.726 0.452
Cl 0.762 0.762 0.000

Output
Space group: I4/mmm (139)
Fermi-level density of states (states/eV per cell): 10.4



Crystalline CuOsSCl2 at its relaxed geometry, computed with PBE.

a = 4.990 Å, b = 4.990 Å, c = 4.370 Å
α = 90.00°, β = 90.00°, γ = 90.00°
Sites, in units of the cell vectors:
Cu 0.000 0.000 0.000
Os 0.500 0.500 0.500
S 0.500 0.500 0.000
Cl 0.000 0.500 0.500
Cl 0.500 0.000 0.500

Output
Space group: P4/mmm (123)
Fermi-level density of states (states/eV per cell): 2.3



Crystalline CuOsS2Cl at its relaxed geometry, computed with PBE.

a = 4.605 Å, b = 4.605 Å, c = 4.397 Å
α = 90.00°, β = 90.00°, γ = 90.00°
Sites, in units of the cell vectors:
Cu 0.000 0.000 0.000
Os 0.500 0.500 0.500
S 0.000 0.500 0.000
S 0.500 0.000 0.000
Cl 0.000 0.000 0.500

Output
Space group: P4/mmm (123)
Fermi-level density of states (states/eV per cell): 5.6



Crystalline CuOsS2Cl at its relaxed geometry, computed with PBE.

a = 4.515 Å, b = 4.515 Å, c = 5.136 Å
α = 90.00°, β = 90.00°, γ = 90.00°
Sites, in units of the cell vectors:
Cu 0.000 0.000 0.000
Os 0.500 0.500 0.500
S 0.000 0.500 0.500
S 0.500 0.000 0.500
Cl 0.500 0.500 0.000

Output
Space group: P4/mmm (123)
Fermi-level density of states (states/eV per cell): 4.5



Crystalline CuOsSCl2 at its relaxed geometry, computed with PBE.

a = 4.504 Å, b = 4.504 Å, c = 4.904 Å
α = 90.00°, β = 90.00°, γ = 90.00°
Sites, in units of the cell vectors:
Cu 0.000 0.000 0.000
Os 0.500 0.500 0.500
S 0.000 0.000 0.500
Cl 0.000 0.500 0.000
Cl 0.500 0.000 0.000

Output
Space group: P4/mmm (123)
Fermi-level density of states (states/eV per cell): 5.5



Crystalline CuSb2OsCl at its relaxed geometry, computed with PBE.

a = 5.346 Å, b = 5.346 Å, c = 4.270 Å
α = 90.00°, β = 90.00°, γ = 90.00°
Sites, in units of the cell vectors:
Cu 0.000 0.000 0.000
Sb 0.000 0.500 0.500
Sb 0.500 0.000 0.500
Os 0.500 0.500 0.000
Cl 0.500 0.500 0.500

Output
Space group: P4/mmm (123)
Fermi-level density of states (states/eV per cell): 6.1



Crystalline CuSiOsCl2 at its relaxed geometry, computed with PBE.

a = 4.354 Å, b = 4.354 Å, c = 5.432 Å
α = 90.00°, β = 90.00°, γ = 90.00°
Sites, in units of the cell vectors:
Cu 0.000 0.000 0.000
Si 0.500 0.500 0.500
Os 0.000 0.000 0.500
Cl 0.000 0.500 0.000
Cl 0.500 0.000 0.000

Output
Space group: P4/mmm (123)
Fermi-level density of states (states/eV per cell): 3.8



Crystalline Sr2CuOsCl at its relaxed geometry, computed with PBE.

a = 5.773 Å, b = 5.773 Å, c = 4.416 Å
α = 90.00°, β = 90.00°, γ = 90.00°
Sites, in units of the cell vectors:
Sr 0.000 0.500 0.000
Sr 0.500 0.000 0.000
Cu 0.000 0.000 0.000
Os 0.500 0.500 0.500
Cl 0.000 0.000 0.500

Output
Space group: P4/mmm (123)
Fermi-level density of states (states/eV per cell): 4.6



Crystalline TlCu2OsCl8 at its relaxed geometry, computed with PBE.

a = 6.105 Å, b = 6.996 Å, c = 8.337 Å
α = 71.13°, β = 83.66°, γ = 87.08°
Sites, in units of the cell vectors:
Tl 0.000 0.000 0.000
Cu 0.482 0.524 0.817
Cu 0.518 0.476 0.183
Os 0.000 0.500 0.500
Cl 0.110 0.486 0.766
Cl 0.158 0.815 0.376
Cl 0.331 0.338 0.441
Cl 0.475 0.762 0.959
Cl 0.525 0.238 0.041
Cl 0.669 0.662 0.559
Cl 0.842 0.185 0.624
Cl 0.890 0.514 0.234

Output
Space group: P-1 (2)
Fermi-level density of states (states/eV per cell): 4.4



Crystalline VCuOsCl2 at its relaxed geometry, computed with PBE.

a = 4.177 Å, b = 4.177 Å, c = 6.508 Å
α = 90.00°, β = 90.00°, γ = 90.00°
Sites, in units of the cell vectors:
V 0.000 0.000 0.000
Cu 0.000 0.000 0.500
Os 0.500 0.500 0.000
Cl 0.000 0.500 0.500
Cl 0.500 0.000 0.500

Output
Space group: P4/mmm (123)
Fermi-level density of states (states/eV per cell): 3.8



| no. | ΔE_f (raw) (eV per formula unit) | calculated total energy (eV/atom) |
| --- | --- | --- |
| 1 | 4.35 | -4.23 |
| 2 | 1.65 | -4.90 |
| 3 | 2.43 | -4.71 |
| 4 | 4.83 | -4.11 |
| 5 | 9.80 | -2.15 |
| 6 | 4.82 | -3.21 |
| 7 | -3.44 | -3.73 |
| 8 | 2.63 | -4.85 |
| 9 | 3.40 | -4.47 |
| 10 | 3.33 | -4.22 |
| 11 | 6.21 | -3.64 |
| 12 | -12.58 | -6.00 |
| 13 | -9.79 | -5.88 |
| 14 | -6.40 | -5.57 |
| 15 | 4.26 | -3.60 |
| 16 | -8.80 | -3.66 |
| 17 | -6.91 | -3.81 |
| 18 | -9.24 | -3.76 |
| 19 | 2.54 | -4.12 |
| 20 | 6.43 | -3.80 |
| 21 | 3.06 | -4.47 |
| 22 | 5.56 | -3.52 |
| 23 | 7.89 | -3.51 |
| 24 | 5.79 | -3.73 |
| 25 | 3.41 | -3.42 |
| 26 | -6.82 | -3.61 |
| 27 | 7.38 | -4.15 |